1.
DFT (GGA-PBEsol) results for an optimized crystal structure of KTa2P.

Cell lengths 2.6918, 5.2437, 6.3268 Å; angles 114.48, 102.28, 90.00 degrees
Last column: nearest neighbours and their distance in Å.
Element x y z (fractional)
K 0.5000 0.0000 0.0000  2 K 2.69, 4 P 2.95
P 0.0000 0.5000 0.0000  4 Ta 2.59, 2 P 2.69
Ta 0.6975 0.6975 0.3951  2 P 2.59, 2 Ta 2.69
Ta 0.3025 0.3025 0.6049  2 P 2.59, 2 Ta 2.69

Values from the calculation:
Crystal system   orthorhombic
VASP energy   -30.411 eV/cell
ΔH_f (0 K)   1.616 eV per formula unit
Magnetic moment   0.0 Bohr magnetons per cell

***

2.
DFT (GGA-PBEsol) results for an optimized crystal structure of KTaP2.

Cell lengths 2.7315, 2.7315, 10.8657 Å; angles 90.00, 90.00, 98.26 degrees
Last column: nearest neighbours and their distance in Å.
Element x y z (fractional)
K 0.5000 0.5000 0.2394  4 K 2.73
P 0.0000 0.0000 0.0054  4 P 2.73
P 0.5000 0.5000 0.7140  4 Ta 2.59-2.79, 4 P 2.73
Ta 0.0000 0.0000 0.5411  4 P 2.59-2.79, 4 Ta 2.73

Values from the calculation:
E above lowest polymorph   0.772 eV/atom
Crystal system   orthorhombic
VASP energy   -22.943 eV/cell
ΔH_f (0 K)   2.324 eV per formula unit
Magnetic moment   0.0 Bohr magnetons per cell

***

3.
DFT (GGA-PBEsol) results for an optimized crystal structure of KTaP2.

Cell lengths 3.8738, 3.8738, 5.4559 Å; angles 110.79, 110.79, 90.00 degrees
Last column: nearest neighbours and their distance in Å.
Element x y z (fractional)
K 0.2500 0.7500 0.5000  8 P 2.74-3.05, 4 Ta 3.05
P 0.0000 0.0000 0.0000  4 Ta 2.74, 4 K 3.05, 4 P 3.05
P 0.7500 0.2500 0.5000  4 K 2.74, 4 Ta 3.05, 4 P 3.05
Ta 0.5000 0.5000 0.0000  8 P 2.74-3.05, 4 K 3.05

Values from the calculation:
E above lowest polymorph   0.796 eV/atom
Crystal system   tetragonal
VASP energy   -22.849 eV/cell
ΔH_f (0 K)   2.418 eV per formula unit
Magnetic moment   0.0 Bohr magnetons per cell

***

4.
DFT (GGA-PBEsol) results for an optimized crystal structure of K4TcP.

Cell lengths 6.4176, 6.4176, 6.4176 Å; angles 60.00, 60.00, 60.00 degrees
Last column: nearest neighbours and their distance in Å.
Element x y z (fractional)
K 0.3769 0.3769 0.3769  6 K 3.16-3.26
K 0.3769 0.3769 0.8693  6 K 3.16-3.26
K 0.8693 0.3769 0.3769  6 K 3.16-3.26
K 0.3769 0.8693 0.3769  6 K 3.16-3.26
P 0.7500 0.7500 0.7500  12 K 3.76, 4 Tc 3.93
Tc 0.0000 0.0000 0.0000  12 K 3.77, 4 P 3.93

Values from the calculation:
Crystal system   cubic
VASP energy   -13.926 eV/cell
ΔH_f (0 K)   7.665 eV per formula unit
Magnetic moment   4.0 Bohr magnetons per cell

***

5.
DFT (GGA-PBEsol) results for an optimized crystal structure of KTc2P.

Cell lengths 2.8973, 2.8973, 9.5360 Å; angles 81.26, 81.26, 60.00 degrees
Last column: nearest neighbours and their distance in Å.
Element x y z (fractional)
K 0.5051 0.5051 0.4848  6 K 2.90, 3 P 3.17
P 0.2672 0.2672 0.1985  3 Tc 2.38
Tc 0.9941 0.9941 0.0176  3 P 2.38, 3 Tc 2.65
Tc 0.7336 0.7336 0.7992  9 Tc 2.65-2.90

Values from the calculation:
Crystal system   trigonal
VASP energy   -27.951 eV/cell
ΔH_f (0 K)   1.506 eV per formula unit
Magnetic moment   0.0 Bohr magnetons per cell

***

6.
DFT (GGA-PBEsol) results for an optimized crystal structure of KTc2P.

Cell lengths 2.7013, 5.4172, 5.7904 Å; angles 117.89, 103.49, 90.00 degrees
Last column: nearest neighbours and their distance in Å.
Element x y z (fractional)
K 0.4884 0.4884 0.9769  2 K 2.70
P 0.7079 0.2079 0.4157  2 Tc 2.39
Tc 0.0088 0.0088 0.0175  2 P 2.39, 2 Tc 2.51
Tc 0.2950 0.7950 0.5899  4 Tc 2.51-2.70

Values from the calculation:
Crystal system   orthorhombic
VASP energy   -25.697 eV/cell
ΔH_f (0 K)   3.761 eV per formula unit
Magnetic moment   0.0 Bohr magnetons per cell

***

7.
DFT (GGA-PBEsol) results for an optimized crystal structure of KTcP2.

Cell lengths 4.0510, 5.2088, 5.2088 Å; angles 73.32, 67.12, 67.12 degrees
Last column: nearest neighbours and their distance in Å.
Element x y z (fractional)
K 0.0000 0.5000 0.5000  8 P 3.25-3.30
P 0.1518 0.8482 0.8482  1 P 2.22, 2 Tc 2.31
P 0.8482 0.1518 0.1518  1 P 2.22, 2 Tc 2.31
Tc 0.5000 0.0000 0.0000  4 P 2.31

Values from the calculation:
E above lowest polymorph   0.599 eV/atom
Crystal system   orthorhombic
VASP energy   -23.019 eV/cell
ΔH_f (0 K)   0.963 eV per formula unit
Magnetic moment   0.0 Bohr magnetons per cell

***

8.
DFT (GGA-PBEsol) results for an optimized crystal structure of K2TcP.

Cell lengths 3.1094, 5.0183, 5.3545 Å; angles 90.00, 90.00, 90.00 degrees
Last column: nearest neighbours and their distance in Å.
Element x y z (fractional)
K 0.0000 0.7497 0.0000  2 K 2.51
K 0.0000 0.2503 0.0000  2 K 2.51
P 0.5000 0.5000 0.5000  2 Tc 2.51
Tc 0.5000 0.0000 0.5000  2 P 2.51

Values from the calculation:
Crystal system   orthorhombic
VASP energy   -15.819 eV/cell
ΔH_f (0 K)   3.505 eV per formula unit
Magnetic moment   0.0 Bohr magnetons per cell

***

9.
DFT (GGA-PBEsol) results for an optimized crystal structure of KTcP2.

Cell lengths 2.9521, 2.9521, 7.7564 Å; angles 90.00, 90.00, 90.00 degrees
Last column: nearest neighbours and their distance in Å.
Element x y z (fractional)
K 0.5000 0.5000 0.0000  4 K 2.95, 8 P 3.23
P 0.0000 0.0000 0.3180  4 Tc 2.52
P 0.0000 0.0000 0.6820  4 Tc 2.52
Tc 0.5000 0.5000 0.5000  8 P 2.52

Values from the calculation:
E above lowest polymorph   0.000 eV/atom
Crystal system   tetragonal
VASP energy   -25.414 eV/cell
ΔH_f (0 K)   -1.432 eV per formula unit
Magnetic moment   0.0 Bohr magnetons per cell

***

10.
DFT (GGA-PBEsol) results for an optimized crystal structure of K2TcP.

Cell lengths 3.2268, 3.2268, 10.0278 Å; angles 90.00, 90.00, 90.00 degrees
Last column: nearest neighbours and their distance in Å.
Element x y z (fractional)
K 0.0000 0.0000 0.9127  4 K 3.23, 1 P 3.29, 4 Tc 3.42
K 0.5000 0.5000 0.3439  1 Tc 3.16, 4 K 3.23, 4 P 3.32
P 0.0000 0.0000 0.5847  4 Tc 2.40
Tc 0.5000 0.5000 0.6587  4 P 2.40

Values from the calculation:
Crystal system   tetragonal
VASP energy   -18.833 eV/cell
ΔH_f (0 K)   0.492 eV per formula unit
Magnetic moment   0.0 Bohr magnetons per cell

***

11.
DFT (GGA-PBEsol) results for an optimized crystal structure of KTcP2.

Cell lengths 4.4923, 4.4923, 4.4923 Å; angles 60.00, 60.00, 60.00 degrees
Last column: nearest neighbours and their distance in Å.
Element x y z (fractional)
K 0.5000 0.5000 0.5000  4 Tc 2.75, 4 P 2.75
P 0.0000 0.0000 0.0000  4 P 2.75, 4 Tc 2.75
P 0.7500 0.7500 0.7500  4 K 2.75, 4 P 2.75
Tc 0.2500 0.2500 0.2500  4 K 2.75, 4 P 2.75

Values from the calculation:
E above lowest polymorph   1.427 eV/atom
Crystal system   cubic
VASP energy   -19.704 eV/cell
ΔH_f (0 K)   4.278 eV per formula unit
Magnetic moment   0.2 Bohr magnetons per cell

***

12.
DFT (GGA-PBEsol) results for an optimized crystal structure of KTcP2.

Cell lengths 2.4989, 5.3533, 5.3533 Å; angles 90.18, 95.76, 95.76 degrees
Last column: nearest neighbours and their distance in Å.
Element x y z (fractional)
K 0.0000 0.5000 0.5000  2 K 2.50, 4 P 2.68
P 0.0000 0.5000 0.0000  2 P 2.50, 2 Tc 2.68, 2 K 2.68
P 0.0000 0.0000 0.5000  2 P 2.50, 2 K 2.68, 2 Tc 2.68
Tc 0.0000 0.0000 0.0000  2 Tc 2.50, 4 P 2.68

Values from the calculation:
E above lowest polymorph   1.063 eV/atom
Crystal system   monoclinic
VASP energy   -21.161 eV/cell
ΔH_f (0 K)   2.822 eV per formula unit
Magnetic moment   0.0 Bohr magnetons per cell